1.
# PBE CaMoI2, relaxed
# - SG: No. 122
# - Formation energy (no corrections): 229 meV per atom
data_CaMoI2
_chemical_formula_sum 'Ca2 Mo2 I4'
_cell_length_a 9.7593
_cell_length_b 9.7593
_cell_length_c 9.7593
_cell_angle_alpha 146.68
_cell_angle_beta 146.68
_cell_angle_gamma 47.83
_space_group_name_H-M_alt 'P 1'
_space_group_IT_number 1
_space_group_name_Hall 'P 1'
loop_
_atom_site_label
_atom_site_fract_x
_atom_site_fract_y
_atom_site_fract_z
_atom_site_occupancy
Ca1 0.0000 0.0000 0.0000 1
Ca2 0.7500 0.2500 0.5000 1
Mo1 0.2500 0.7500 0.5000 1
Mo2 0.5000 0.5000 0.0000 1
I1 0.1565 0.6250 0.0315 1
I2 0.3750 0.4065 0.5315 1
I3 0.5935 0.1250 0.9685 1
I4 0.8750 0.8435 0.4685 1

=====

2.
# PBE Ho2Er7, relaxed
# - SG: No. 189
# - Formation energy from the elements: 39 meV/atom
data_Ho2Er7
_chemical_formula_sum 'Ho2 Er7'
_cell_length_a 9.5290
_cell_length_b 9.5290
_cell_length_c 3.5188
_cell_angle_alpha 90.00
_cell_angle_beta 90.00
_cell_angle_gamma 120.00
_space_group_name_H-M_alt 'P 1'
_space_group_IT_number 1
_space_group_name_Hall 'P 1'
loop_
_atom_site_label
_atom_site_fract_x
_atom_site_fract_y
_atom_site_fract_z
_atom_site_occupancy
Ho1 0.3333 0.6667 0.0000 1
Ho2 0.6667 0.3333 0.0000 1
Er1 0.0000 0.0000 0.5000 1
Er2 0.0000 0.3608 0.5000 1
Er3 0.0000 0.6952 0.0000 1
Er4 0.3048 0.3048 0.0000 1
Er5 0.3608 0.0000 0.5000 1
Er6 0.6392 0.6392 0.5000 1
Er7 0.6952 0.0000 0.0000 1

=====

3.
# PBE Cs2Rb4CuAs2, relaxed
# - SG: No. 12
# - Formation energy from the elements: -170 meV/atom
data_Cs2Rb4CuAs2
_chemical_formula_sum 'Cs2 Rb4 Cu1 As2'
_cell_length_a 8.8026
_cell_length_b 8.8026
_cell_length_c 6.0206
_cell_angle_alpha 103.67
_cell_angle_beta 103.67
_cell_angle_gamma 62.33
_space_group_name_H-M_alt 'P 1'
_space_group_IT_number 1
_space_group_name_Hall 'P 1'
loop_
_atom_site_label
_atom_site_fract_x
_atom_site_fract_y
_atom_site_fract_z
_atom_site_occupancy
Cs1 0.1540 0.1540 0.2582 1
Cs2 0.8460 0.8460 0.7418 1
Rb1 0.1644 0.5906 0.2808 1
Rb2 0.4094 0.8356 0.7192 1
Rb3 0.5906 0.1644 0.2808 1
Rb4 0.8356 0.4094 0.7192 1
Cu1 0.5000 0.5000 0.0000 1
As1 0.3435 0.3435 0.7715 1
As2 0.6565 0.6565 0.2285 1

=====

What did the third record say?
# PBE Cs2Rb4CuAs2, relaxed
# - SG: No. 12
# - Formation energy from the elements: -170 meV/atom
data_Cs2Rb4CuAs2
_chemical_formula_sum 'Cs2 Rb4 Cu1 As2'
_cell_length_a 8.8026
_cell_length_b 8.8026
_cell_length_c 6.0206
_cell_angle_alpha 103.67
_cell_angle_beta 103.67
_cell_angle_gamma 62.33
_space_group_name_H-M_alt 'P 1'
_space_group_IT_number 1
_space_group_name_Hall 'P 1'
loop_
_atom_site_label
_atom_site_fract_x
_atom_site_fract_y
_atom_site_fract_z
_atom_site_occupancy
Cs1 0.1540 0.1540 0.2582 1
Cs2 0.8460 0.8460 0.7418 1
Rb1 0.1644 0.5906 0.2808 1
Rb2 0.4094 0.8356 0.7192 1
Rb3 0.5906 0.1644 0.2808 1
Rb4 0.8356 0.4094 0.7192 1
Cu1 0.5000 0.5000 0.0000 1
As1 0.3435 0.3435 0.7715 1
As2 0.6565 0.6565 0.2285 1